[1]
VASP calculation (meta-GGA SCAN) on ZrScPt4 at its PBEsol-relaxed geometry.

Structure (extended XYZ):
```
6
Lattice="-3.3254 3.8514 1.2819 -4.9994 -1.1196 1.1345 -1.7320 0.4370 4.9340" Properties=species:S:1:pos:R:3 pbc="T T T"
Pt -3.7729 1.1888 2.7576
Pt -4.6378 1.4070 5.2214
Pt -5.4334 3.1120 3.3978
Pt -6.2694 0.6298 3.3242
Sc -7.5426 2.3766 5.5129
Zr 0.0000 0.0000 0.0000
```

## Properties
Volume, Å³/cell: 102.17
ΔH_f (0 K), eV per formula unit: -6.552

=====

[2]
VASP calculation (meta-GGA SCAN) on ZrSc2Pt at its PBEsol-relaxed geometry.

Structure (extended XYZ):
```
4
Lattice="-2.7209 1.3584 -2.6011 -2.7160 -2.5088 1.5309 1.3866 3.9392 3.6850" Properties=species:S:1:pos:R:3 pbc="T T T"
Pt -2.0239 0.4276 2.3404
Sc 0.0000 0.0000 0.0000
Sc -2.0264 2.3612 0.2744
Zr -2.7185 -0.5752 -0.5351
```

## Properties
Volume, Å³/cell: 76.82
Energy relative to the lowest polymorph listed for this composition, eV/atom: 0.0432
ΔH_f (0 K), eV per formula unit: -2.319

=====

[3]
VASP calculation (meta-GGA SCAN) on PtSe2 at its PBEsol-relaxed geometry.

Structure (extended XYZ):
```
3
Lattice="3.7613 0.0000 0.0000 -1.8807 3.2574 0.0000 0.0000 0.0000 4.8451" Properties=species:S:1:pos:R:3 pbc="T T T"
Pt 0.0000 0.0000 2.4225
Se 0.0000 2.1716 3.6898
Se 1.8807 1.0858 1.1552
```

## Properties
Volume, Å³/cell: 59.36
Raw formation energy, kJ/mol of atoms: -46.2

=====

[4]
VASP calculation (meta-GGA SCAN) on PtSe2 at its PBEsol-relaxed geometry.

Structure (extended XYZ):
```
6
Lattice="-0.5734 -3.1519 -1.8937 4.6304 0.6497 -2.4833 2.9982 -1.4754 5.2044" Properties=species:S:1:pos:R:3 pbc="T T T"
Pt 5.0104 -3.1415 0.0550
Pt 2.0449 -0.8360 0.7723
Se 4.5344 -0.7074 -0.1956
Se 6.0517 -2.4148 2.1868
Se 1.0036 -1.5628 -1.3594
Se 2.5208 -3.2702 1.0229
```

## Properties
Volume, Å³/cell: 116.21
Raw formation energy, kJ/mol of atoms: -36.3